Here is OsAu2Br after structural relaxation from the Alexandria database. Energies are from GGA-PBE.

The calculation puts the density of states at the Fermi level at 3.16 states/eV/f.u.

a b c (Å): 2.8695 4.4388 12.3425
angles (deg): 90.00 90.00 90.00
Space group Immm (No. 71)
Asymmetric unit:
1 Os 0.0000 0.0000 0.0000 (multiplicity 2)
2 Au 0.0000 0.5000 0.3033 (multiplicity 4)
3 Br 0.0000 0.0000 0.5000 (multiplicity 2)


Here is Ca2Sn3PbSe6 after structural relaxation from the Alexandria database. Energies are from GGA-PBE.

a b c (Å): 18.7490 4.2838 8.6171
angles (deg): 90.00 103.42 90.00
Space group C2/m (No. 12)
Asymmetric unit:
1 Ca 0.1672 0.0000 0.3340 (multiplicity 4)
2 Sn 0.0000 0.5000 0.5000 (multiplicity 2)
3 Sn 0.1686 0.0000 0.8304 (multiplicity 4)
4 Pb 0.0000 0.5000 0.0000 (multiplicity 2)
5 Se 0.0039 0.0000 0.2576 (multiplicity 4)
6 Se 0.1685 0.5000 0.5804 (multiplicity 4)
7 Se 0.1700 0.5000 0.0921 (multiplicity 4)


Short version: E_tot = -4.06; -4.34 eV/atom, in the order given.
Short version: uncorrected formation energy = 0.8073; -0.9587 eV/atom, in the order given.